# 1
A plane-wave DFT calculation with PBE was carried out for crystalline SrCoN2 at its relaxed geometry.

```
SrCoN2
1.0
0.000 2.921 2.921
2.921 0.000 2.921
2.921 2.921 0.000
Co N Sr
1 2 1
direct
0.000 0.000 0.000
0.250 0.250 0.250
0.750 0.750 0.750
0.500 0.500 0.500
```

SG: Fm-3m, No. 225
ρ: 5.82 g cm⁻³
ΔE to the lowest computed polymorph: 4.90 eV/f.u.
formation energy without anion corrections: 0.920 eV/atom

***

# 2
A plane-wave DFT calculation with PBE was carried out for crystalline SrCoN2 at its relaxed geometry.

```
SrCoN2
1.0
2.297 0.000 5.714
-1.149 1.990 5.714
-1.149 -1.990 5.714
N Co Sr
2 1 1
direct
0.904 0.904 0.904
0.096 0.096 0.096
0.000 0.000 0.000
0.500 0.500 0.500
```

SG: R-3m, No. 166
ρ: 3.70 g cm⁻³
ΔE to the lowest computed polymorph: 2.50 eV/f.u.
formation energy without anion corrections: 0.320 eV/atom

***

# 3
A plane-wave DFT calculation with PBE was carried out for crystalline Sr4CoN4 at its relaxed geometry.

```
Sr4CoN4
1.0
6.446 -0.013 0.008
2.765 5.990 0.004
1.137 2.091 8.321
Co Sr N
2 8 8
direct
0.759 0.863 0.749
0.241 0.137 0.251
0.763 0.062 0.374
0.267 0.491 0.434
0.237 0.938 0.626
0.836 0.591 0.142
0.297 0.785 0.040
0.703 0.215 0.960
0.733 0.509 0.566
0.164 0.409 0.858
0.970 0.843 0.883
0.030 0.157 0.117
0.458 0.843 0.328
0.657 0.638 0.844
0.030 0.276 0.400
0.970 0.724 0.600
0.542 0.157 0.672
0.343 0.362 0.156
```

SG: P-1, No. 2
ρ: 4.81 g cm⁻³
formation energy without anion corrections: -0.373 eV/atom

***

# 4
A plane-wave DFT calculation with PBE was carried out for crystalline SrCo2N3 at its relaxed geometry.

```
SrCo2N3
1.0
4.591 0.000 0.000
0.000 5.337 -2.861
0.000 -0.205 6.025
N Sr Co
6 2 4
direct
0.750 0.708 0.196
0.750 0.488 0.196
0.250 0.512 0.804
0.250 0.292 0.804
0.750 0.906 0.812
0.250 0.094 0.188
0.250 0.736 0.473
0.750 0.264 0.527
0.500 0.803 0.000
0.500 0.197 0.000
0.000 0.803 0.000
0.000 0.197 0.000
```

SG: Cmcm, No. 63
ρ: 5.67 g cm⁻³
formation energy without anion corrections: -0.192 eV/atom

***

# 5
A plane-wave DFT calculation with PBE was carried out for crystalline SrCoTe2N at its relaxed geometry.

```
SrCoTe2N
1.0
-4.611 -4.136 0.428
3.212 -3.138 4.288
-1.812 2.338 3.068
Sr Te N Co
1 2 1 1
direct
0.000 0.000 0.000
0.500 0.000 0.000
0.000 0.500 0.000
0.000 0.000 0.500
0.500 0.500 0.500
```

SG: P4/mmm, No. 123
ρ: 4.20 g cm⁻³
ΔE to the lowest computed polymorph: 8.65 eV/f.u.
formation energy without anion corrections: 1.465 eV/atom

***

# 6
A plane-wave DFT calculation with PBE was carried out for crystalline SrCoTeN2 at its relaxed geometry.

```
SrCoTeN2
1.0
4.721 0.000 0.000
0.000 4.721 0.000
0.000 0.000 6.779
N Sr Co Te
2 1 1 1
direct
0.000 0.500 0.000
0.500 0.000 0.000
0.000 0.000 0.000
0.500 0.500 0.500
0.000 0.000 0.500
```

SG: P4/mmm, No. 123
ρ: 3.32 g cm⁻³
ΔE to the lowest computed polymorph: 5.72 eV/f.u.
formation energy without anion corrections: 1.821 eV/atom

***

# 7
A plane-wave DFT calculation with PBE was carried out for crystalline SrCoTe2N at its relaxed geometry.

```
SrCoTe2N
1.0
5.634 0.000 0.000
0.000 5.634 0.000
0.000 0.000 3.520
N Te Co Sr
1 2 1 1
direct
0.000 0.000 0.500
0.000 0.500 0.000
0.500 0.000 0.000
0.000 0.000 0.000
0.500 0.500 0.500
```

SG: P4/mmm, No. 123
ρ: 6.18 g cm⁻³
ΔE to the lowest computed polymorph: 0.00 eV/f.u.
formation energy without anion corrections: -0.265 eV/atom

***

# 8
A plane-wave DFT calculation with PBE was carried out for crystalline SrCoTeN2 at its relaxed geometry.

```
SrCoTeN2
1.0
-1.211 3.733 -1.416
-3.992 -1.107 0.496
0.087 1.888 4.903
N Sr Te Co
2 1 1 1
direct
0.500 0.000 0.000
0.000 0.500 0.000
0.500 0.500 0.500
0.000 0.000 0.500
0.000 0.000 0.000
```

SG: P4/mmm, No. 123
ρ: 5.48 g cm⁻³
ΔE to the lowest computed polymorph: 0.00 eV/f.u.
formation energy without anion corrections: 0.678 eV/atom

***

# 9
A plane-wave DFT calculation with PBE was carried out for crystalline SrTh2CoN4 at its relaxed geometry.

```
SrTh2CoN4
1.0
-2.832 -2.294 -0.494
4.468 -1.669 -4.171
4.713 -7.557 8.072
N Th Sr Co
8 4 2 2
direct
0.744 0.488 0.613
0.576 0.153 0.250
0.000 0.000 0.000
0.256 0.512 0.113
0.256 0.512 0.387
0.000 0.000 0.500
0.424 0.847 0.750
0.744 0.488 0.887
0.632 0.264 0.444
0.632 0.264 0.056
0.368 0.736 0.944
0.368 0.736 0.556
0.910 0.820 0.250
0.090 0.180 0.750
0.175 0.351 0.250
0.825 0.649 0.750
```

SG: Cmcm, No. 63
ρ: 8.26 g cm⁻³
formation energy without anion corrections: -1.035 eV/atom

***

# 10
A plane-wave DFT calculation with PBE was carried out for crystalline SrTi2CoN at its relaxed geometry.

```
SrTi2CoN
1.0
4.314 0.000 0.000
0.000 5.380 0.000
0.000 0.000 4.314
N Ti Sr Co
1 2 1 1
direct
0.000 0.500 0.000
0.500 0.000 0.000
0.000 0.000 0.500
0.500 0.500 0.500
0.000 0.000 0.000
```

SG: P4/mmm, No. 123
ρ: 4.25 g cm⁻³
formation energy without anion corrections: 0.943 eV/atom

***

# 11
A plane-wave DFT calculation with PBE was carried out for crystalline SrTlCo2N at its relaxed geometry.

```
SrTlCo2N
1.0
4.773 0.000 0.000
0.000 6.367 0.000
0.000 0.000 4.773
Co N Sr Tl
2 1 1 1
direct
0.000 0.000 0.500
0.500 0.000 0.000
0.500 0.500 0.500
0.000 0.500 0.000
0.000 0.000 0.000
```

SG: P4/mmm, No. 123
ρ: 4.85 g cm⁻³
formation energy without anion corrections: 1.878 eV/atom

***

# 12
A plane-wave DFT calculation with PBE was carried out for crystalline Sr2TlCoN at its relaxed geometry.

```
Sr2TlCoN
1.0
-0.646 0.700 -5.586
-2.579 -5.035 -0.332
-3.155 1.579 0.563
Sr Co N Tl
2 1 1 1
direct
0.000 0.500 0.000
0.500 0.000 0.000
0.000 0.000 0.500
0.000 0.000 0.000
0.500 0.500 0.500
```

SG: P4/mmm, No. 123
ρ: 6.55 g cm⁻³
formation energy without anion corrections: -0.358 eV/atom

***

# 13
A plane-wave DFT calculation with PBE was carried out for crystalline SrUCoN3 at its relaxed geometry.

```
SrUCoN3
1.0
3.500 0.000 0.000
0.000 7.393 0.615
0.000 -2.206 6.960
Co U N Sr
2 2 6 2
direct
0.750 0.926 0.404
0.250 0.074 0.596
0.750 0.332 0.831
0.250 0.668 0.169
0.250 0.160 0.867
0.750 0.177 0.530
0.750 0.840 0.133
0.250 0.541 0.857
0.750 0.459 0.143
0.250 0.823 0.470
0.250 0.196 0.233
0.750 0.804 0.767
```

SG: P2_1/m, No. 11
ρ: 7.66 g cm⁻³
formation energy without anion corrections: -0.859 eV/atom

***

# 14
A plane-wave DFT calculation with PBE was carried out for crystalline SrU2CoN4 at its relaxed geometry.

```
SrU2CoN4
1.0
3.486 0.000 0.000
-1.743 5.773 0.000
0.000 0.000 11.324
Co U N Sr
2 4 8 2
direct
0.166 0.332 0.250
0.834 0.668 0.750
0.369 0.737 0.941
0.369 0.737 0.559
0.631 0.263 0.441
0.631 0.263 0.059
0.573 0.146 0.250
0.000 0.000 0.000
0.259 0.518 0.397
0.741 0.482 0.897
0.741 0.482 0.603
0.000 0.000 0.500
0.259 0.518 0.103
0.427 0.854 0.750
0.100 0.200 0.750
0.900 0.800 0.250
```

SG: Cmcm, No. 63
ρ: 9.89 g cm⁻³
formation energy without anion corrections: -1.102 eV/atom

***

# 15
A plane-wave DFT calculation with PBE was carried out for crystalline SrZn2CoN at its relaxed geometry.

```
SrZn2CoN
1.0
-3.363 -3.053 2.076
2.419 -3.943 -1.881
2.005 -0.187 2.971
Co Zn Sr N
1 2 1 1
direct
0.000 0.000 0.000
0.500 0.000 0.000
0.000 0.500 0.000
0.500 0.500 0.500
0.000 0.000 0.500
```

SG: P4/mmm, No. 123
ρ: 5.41 g cm⁻³
formation energy without anion corrections: 0.218 eV/atom

***

# 16
A plane-wave DFT calculation with PBE was carried out for crystalline SrZr2CoN4 at its relaxed geometry.

```
SrZr2CoN4
1.0
3.294 0.000 0.000
-1.647 5.624 0.000
0.000 0.000 11.294
Co N Zr Sr
2 8 4 2
direct
0.165 0.330 0.250
0.835 0.670 0.750
0.261 0.522 0.110
0.261 0.522 0.390
0.581 0.162 0.250
0.419 0.838 0.750
0.000 0.000 0.500
0.739 0.478 0.890
0.000 0.000 0.000
0.739 0.478 0.610
0.366 0.732 0.550
0.634 0.268 0.050
0.634 0.268 0.450
0.366 0.732 0.950
0.898 0.796 0.250
0.102 0.204 0.750
```

SG: Cmcm, No. 63
ρ: 6.11 g cm⁻³
formation energy without anion corrections: -1.088 eV/atom

***

# 17
A plane-wave DFT calculation with PBE was carried out for crystalline Ta2CoN at its relaxed geometry.

```
Ta2CoN
1.0
2.888 0.000 0.000
1.444 2.501 0.000
1.444 0.834 7.713
Ta Co N
2 1 1
direct
0.895 0.895 0.314
0.105 0.105 0.686
0.000 0.000 0.000
0.500 0.500 0.500
```

SG: R-3m, No. 166
ρ: 12.96 g cm⁻³
formation energy without anion corrections: 0.040 eV/atom

***

# 18
A plane-wave DFT calculation with PBE was carried out for crystalline Ta3Co3N at its relaxed geometry.

```
Ta3Co3N
1.0
2.091 -4.746 6.027
3.575 -6.949 -1.467
7.680 -0.980 1.809
Co Ta N
12 12 4
direct
0.125 0.625 0.625
0.831 0.831 0.507
0.625 0.625 0.125
0.419 0.743 0.419
0.831 0.507 0.831
0.419 0.419 0.743
0.625 0.625 0.625
0.625 0.125 0.625
0.507 0.831 0.831
0.831 0.831 0.831
0.419 0.419 0.419
0.743 0.419 0.419
0.051 0.449 0.051
0.199 0.801 0.801
0.199 0.199 0.801
0.449 0.051 0.051
0.199 0.801 0.199
0.801 0.801 0.199
0.051 0.449 0.449
0.801 0.199 0.801
0.051 0.051 0.449
0.449 0.449 0.051
0.449 0.051 0.449
0.801 0.199 0.199
0.125 0.625 0.125
0.125 0.125 0.625
0.625 0.125 0.125
0.125 0.125 0.125
```

SG: Fd-3m, No. 227
ρ: 13.71 g cm⁻³
formation energy without anion corrections: -0.514 eV/atom

***

# 19
A plane-wave DFT calculation with PBE was carried out for crystalline Ta2CoN4 at its relaxed geometry.

```
Ta2CoN4
1.0
3.591 0.000 0.000
0.000 3.591 0.000
1.796 1.796 5.411
Ta N Co
2 4 1
direct
0.636 0.636 0.728
0.364 0.364 0.272
0.500 0.000 0.000
0.818 0.818 0.363
0.182 0.182 0.637
0.000 0.500 0.000
0.000 0.000 0.000
```

SG: I4/mmm, No. 139
ρ: 11.35 g cm⁻³
formation energy without anion corrections: -0.028 eV/atom

***

# 20
A plane-wave DFT calculation with PBE was carried out for crystalline Ta2CoN at its relaxed geometry.

```
Ta2CoN
1.0
5.093 0.000 0.000
0.000 5.093 0.000
2.546 2.546 4.966
Co Ta N
2 4 2
direct
0.000 0.000 0.000
0.750 0.250 0.500
0.569 0.125 0.250
0.375 0.431 0.750
0.875 0.819 0.750
0.181 0.625 0.250
0.250 0.750 0.500
0.500 0.500 0.000
```

SG: I-42d, No. 122
ρ: 11.21 g cm⁻³
formation energy without anion corrections: -0.110 eV/atom